Compound: Na2MgZn3Sn4
Source: Alexandria via LeMat-Bulk
Functional: PBE
Structure: relaxed

Lattice parameters (Å, degrees): 4.526 4.526 12.141 90.00 90.00 90.00
Fractional coordinates of all 10 atoms:
Na 0.000 0.500 0.748
Na 0.500 0.000 0.252
Mg 0.500 0.500 0.500
Zn 0.000 0.500 0.142
Zn 0.000 0.000 0.500
Zn 0.500 0.000 0.858
Sn 0.000 0.000 0.000
Sn 0.500 0.000 0.643
Sn 0.500 0.500 0.000
Sn 0.000 0.500 0.357

DFT formation energy = -0.10 eV/atom
DOS(E_F) = 2.966 states/eV/f.u.